AlCoF2: relaxed, PBE+U.

The value obtained for the magnetic moment is 8.5 μB per cell. The calculation puts the energy above the most stable polymorph in this dataset at 0.243 eV per atom. For the density of states at the Fermi level, the calculation gives 1.50 states/eV/f.u.

It has space group I4_1/amd (No. 141, origin choice 2), with a = 5.798 Å, b = 5.798 Å, c = 8.169 Å, α = 90.00°, β = 90.00° and γ = 90.00°. The inequivalent atoms are Al at (0.000, 0.250, 0.375), Co at (0.000, 0.250, 0.875) and F at (0.000, 0.000, 0.500).